# 1
# Mg2PbAu

Crystalline Mg2PbAu at its relaxed geometry (PBE, Alexandria).

Results
Crystal system   orthorhombic
Total energy   -2.77 eV/atom
Formation energy   -0.222 eV/atom
Spin magnetization   0.00 μB/f.u.

The structure in CIF format:
```
data_Mg2PbAu
_chemical_formula_sum 'Mg2 Pb1 Au1'
_cell_length_a 3.536
_cell_length_b 3.895
_cell_length_c 6.659
_cell_angle_alpha 90.00
_cell_angle_beta 90.00
_cell_angle_gamma 90.00
_symmetry_space_group_name_H-M 'P m m 2'
_symmetry_Int_Tables_number 25
loop_
_symmetry_equiv_pos_as_xyz
'x,y,z'
'-x,-y,z'
'-x,y,z'
'x,-y,z'
loop_
_atom_site_label
_atom_site_fract_x
_atom_site_fract_y
_atom_site_fract_z
_atom_site_occupancy
Mg1 0.000 0.000 0.000 1
Mg2 0.500 0.500 0.273 1
Pb1 0.000 0.000 0.537 1
Au1 0.500 0.500 0.857 1
```


# 2
# MgPbAu

Crystalline MgPbAu at its relaxed geometry (PBE, Alexandria).

Results
Crystal system   trigonal
Total energy   -3.04 eV/atom
Formation energy   -0.181 eV/atom
Spin magnetization   0.00 μB/f.u.

The structure in CIF format:
```
data_MgPbAu
_chemical_formula_sum 'Mg1 Pb1 Au1'
_cell_length_a 4.7035
_cell_length_b 4.7035
_cell_length_c 3.7156
_cell_angle_alpha 90.00
_cell_angle_beta 90.00
_cell_angle_gamma 120.00
_symmetry_space_group_name_H-M 'P 3 m 1'
_symmetry_Int_Tables_number 156
loop_
_symmetry_equiv_pos_as_xyz
'x,y,z'
'-y,x-y,z'
'-x+y,-x,z'
'-y,-x,z'
'-x+y,y,z'
'x,x-y,z'
loop_
_atom_site_label
_atom_site_fract_x
_atom_site_fract_y
_atom_site_fract_z
_atom_site_occupancy
Mg1 0.0000 0.0000 0.0000 1
Pb1 0.6667 0.3333 0.4945 1
Au1 0.3333 0.6667 0.9759 1
```


> Among the records above, which one has the lowest formation energy?

Mg2PbAu


> Number 1 is which compound?

Mg2PbAu


> The highest formation energy belongs to which entry?

MgPbAu


> What is the spin magnetization in the second record?

0.00 μB/f.u.